Hf2HgPd: optimized geometry, PBE-GGA.

Summary:
density	12.92	g cm⁻³
crystal system	tetragonal
size of the total moment	0.00	μB per atom
total DFT energy (no corrections)	-50.5	eV per cell
ΔE_f	0.042	eV/atom

The structure in POSCAR format:
```
Hf2HgPd
1.0
-3.8297 3.8297 2.9097
3.8297 -3.8297 2.9097
3.8297 3.8297 -2.9097
Hf Hg Pd
4 2 2
Cartesian
5.7446 1.6425 -0.7274
1.6425 1.9149 0.7274
-1.9149 2.1872 2.1823
2.1872 1.9149 3.6371
3.8297 0.0000 1.4549
0.0000 0.0000 2.9097
0.0000 0.0000 0.0000
0.0000 3.8297 1.4549
```



Hf2Hg2Pd: optimized geometry, PBE-GGA.

Summary:
density	13.87	g cm⁻³
crystal system	tetragonal
size of the total moment	0.00	μB per atom
total DFT energy (no corrections)	-51.7	eV per cell
ΔE_f	-0.034	eV/atom

The structure in POSCAR format:
```
Hf2Hg2Pd
1.0
7.2107 0.0000 0.0000
0.0000 7.2107 0.0000
0.0000 0.0000 3.9811
Hf Hg Pd
4 4 2
Cartesian
1.2001 2.4052 0.0000
2.4052 6.0105 0.0000
4.8055 1.2001 0.0000
6.0105 4.8055 0.0000
1.0003 4.6056 1.9906
2.6051 1.0003 1.9906
4.6056 6.2104 1.9906
6.2104 2.6051 1.9906
0.0000 0.0000 1.9906
3.6053 3.6053 1.9906
```



HfHgPd2: optimized geometry, PBE-GGA.

Summary:
density	13.62	g cm⁻³
crystal system	tetragonal
size of the total moment	0.00	μB per atom
total DFT energy (no corrections)	-22.1	eV per cell
ΔE_f	-0.359	eV/atom

The structure in POSCAR format:
```
HfHgPd2
1.0
4.5739 0.0000 0.0000
0.0000 4.5739 0.0000
0.0000 0.0000 3.4497
Hf Hg Pd
1 1 2
Cartesian
0.0000 0.0000 0.0000
2.2869 2.2869 0.0000
0.0000 2.2869 1.7248
2.2869 0.0000 1.7248
```



HfHgPd2: optimized geometry, PBE-GGA.

Summary:
density	13.43	g cm⁻³
crystal system	tetragonal
size of the total moment	0.00	μB per atom
total DFT energy (no corrections)	-22.7	eV per cell
ΔE_f	-0.527	eV/atom

The structure in POSCAR format:
```
HfHgPd2
1.0
3.3830 0.0000 0.0000
0.0000 3.3830 0.0000
0.0000 0.0000 6.3968
Hf Hg Pd
1 1 2
Cartesian
0.0000 0.0000 0.0000
0.0000 0.0000 3.1984
1.6915 1.6915 1.4750
1.6915 1.6915 4.9218
```



- What is the formula in the second record?
  Hf2Hg2Pd